(1)
# GGA-PBE Tb2SmDy4Y2, optimized geometry
# **Mass density**: 7.5 g/cm³
# **ΔE_f**: 0.00 eV per atom
data_Tb2SmDy4Y2
_cell_length_a 3.5934
_cell_length_b 9.5018
_cell_length_c 9.5530
_cell_angle_alpha 115.23
_cell_angle_beta 90.00
_cell_angle_gamma 100.90
_space_group_name_H-M_alt 'P 1'
_space_group_IT_number 1
loop_
_space_group_symop_operation_xyz
'x,y,z'
loop_
_atom_site_label
_atom_site_type_symbol
_atom_site_fract_x
_atom_site_fract_y
_atom_site_fract_z
_atom_site_occupancy
Dy1 Dy 0.1854 0.3709 0.3351 1
Dy2 Dy 0.8146 0.6291 0.6649 1
Dy3 Dy 0.5187 0.0375 0.3341 1
Dy4 Dy 0.4813 0.9625 0.6659 1
Tb1 Tb 0.6672 0.3344 0.0015 1
Tb2 Tb 0.3328 0.6656 0.9985 1
Y1 Y 0.1475 0.2950 0.6657 1
Y2 Y 0.8525 0.7050 0.3343 1
Sm1 Sm 0.0000 0.0000 0.0000 1


(2)
# GGA-PBE BaPuNpO6, optimized geometry
# **Mass density**: 7.2 g/cm³
# **Raw formation energy**: -2945 meV per atom
data_BaPuNpO6
_cell_length_a 5.9104
_cell_length_b 5.9104
_cell_length_c 10.9610
_cell_angle_alpha 90.00
_cell_angle_beta 90.00
_cell_angle_gamma 120.00
_space_group_name_H-M_alt 'P 1'
_space_group_IT_number 1
loop_
_space_group_symop_operation_xyz
'x,y,z'
loop_
_atom_site_label
_atom_site_type_symbol
_atom_site_fract_x
_atom_site_fract_y
_atom_site_fract_z
_atom_site_occupancy
O1 O 0.0112 0.3836 0.6502 1
O2 O 0.3836 0.0112 0.1502 1
O3 O 0.6164 0.9888 0.8498 1
O4 O 0.6276 0.0112 0.3498 1
O5 O 0.0112 0.6276 0.8498 1
O6 O 0.9888 0.3724 0.1502 1
O7 O 0.9888 0.6164 0.3498 1
O8 O 0.3836 0.3724 0.3498 1
O9 O 0.3724 0.3836 0.8498 1
O10 O 0.3724 0.9888 0.6502 1
O11 O 0.6276 0.6164 0.1502 1
O12 O 0.6164 0.6276 0.6502 1
Pu1 Pu 0.3333 0.6667 0.2500 1
Pu2 Pu 0.6667 0.3333 0.7500 1
Np1 Np 0.6667 0.3333 0.2500 1
Np2 Np 0.3333 0.6667 0.7500 1
Ba1 Ba 0.0000 0.0000 0.0000 1
Ba2 Ba 0.0000 0.0000 0.5000 1


(3)
# GGA-PBE Tb2CoCl, optimized geometry
# **Mass density**: 7.2 g/cm³
# **Raw formation energy**: -830 meV per atom
data_Tb2CoCl
_cell_length_a 3.8222
_cell_length_b 3.8222
_cell_length_c 7.7925
_cell_angle_alpha 75.80
_cell_angle_beta 75.80
_cell_angle_gamma 60.00
_space_group_name_H-M_alt 'P 1'
_space_group_IT_number 1
loop_
_space_group_symop_operation_xyz
'x,y,z'
loop_
_atom_site_label
_atom_site_type_symbol
_atom_site_fract_x
_atom_site_fract_y
_atom_site_fract_z
_atom_site_occupancy
Tb1 Tb 0.0666 0.0666 0.8002 1
Tb2 Tb 0.2691 0.2691 0.1928 1
Cl1 Cl 0.4969 0.4969 0.5094 1
Co1 Co 0.6675 0.6675 0.9976 1


(4)
# GGA-PBE Zr2NpTc, optimized geometry
# **Mass density**: 10.4 g/cm³
# **ΔE_f**: 0.04 eV per atom
data_Zr2NpTc
_cell_length_a 3.2581
_cell_length_b 3.2581
_cell_length_c 7.7631
_cell_angle_alpha 90.00
_cell_angle_beta 90.00
_cell_angle_gamma 90.00
_space_group_name_H-M_alt 'P 1'
_space_group_IT_number 1
loop_
_space_group_symop_operation_xyz
'x,y,z'
loop_
_atom_site_label
_atom_site_type_symbol
_atom_site_fract_x
_atom_site_fract_y
_atom_site_fract_z
_atom_site_occupancy
Np1 Np 0.5000 0.5000 0.5000 1
Zr1 Zr 0.0000 0.0000 0.7901 1
Zr2 Zr 0.0000 0.0000 0.2099 1
Tc1 Tc 0.5000 0.5000 0.0000 1


(5)
# GGA-PBE DyAg5, optimized geometry
# **Mass density**: 9.8 g/cm³
# **ΔE_f**: -0.09 eV per atom
data_DyAg5
_cell_length_a 4.1613
_cell_length_b 4.4668
_cell_length_c 6.7901
_cell_angle_alpha 109.20
_cell_angle_beta 90.00
_cell_angle_gamma 90.00
_space_group_name_H-M_alt 'P 1'
_space_group_IT_number 1
loop_
_space_group_symop_operation_xyz
'x,y,z'
loop_
_atom_site_label
_atom_site_type_symbol
_atom_site_fract_x
_atom_site_fract_y
_atom_site_fract_z
_atom_site_occupancy
Dy1 Dy 0.0000 0.0000 0.0000 1
Ag1 Ag 0.0000 0.3317 0.6635 1
Ag2 Ag 0.0000 0.6683 0.3365 1
Ag3 Ag 0.5000 0.1739 0.3477 1
Ag4 Ag 0.5000 0.5000 0.0000 1
Ag5 Ag 0.5000 0.8261 0.6523 1


(6)
# GGA-PBE Y2ThC, optimized geometry
# **Mass density**: 6.6 g/cm³
# **ΔE_f**: -0.05 eV per atom
data_Y2ThC
_cell_length_a 3.5173
_cell_length_b 3.5173
_cell_length_c 10.1144
_cell_angle_alpha 79.99
_cell_angle_beta 79.99
_cell_angle_gamma 60.00
_space_group_name_H-M_alt 'P 1'
_space_group_IT_number 1
loop_
_space_group_symop_operation_xyz
'x,y,z'
loop_
_atom_site_label
_atom_site_type_symbol
_atom_site_fract_x
_atom_site_fract_y
_atom_site_fract_z
_atom_site_occupancy
Y1 Y 0.8790 0.8790 0.3629 1
Y2 Y 0.1210 0.1210 0.6371 1
C1 C 0.5000 0.5000 0.5000 1
Th1 Th 0.0000 0.0000 0.0000 1


(7)
# GGA-PBE Tb3DySi4, optimized geometry
# **Mass density**: 6.4 g/cm³
# **Raw formation energy**: -563 meV per atom
data_Tb3DySi4
_cell_length_a 3.9989
_cell_length_b 6.2602
_cell_length_c 8.6484
_cell_angle_alpha 111.22
_cell_angle_beta 103.37
_cell_angle_gamma 90.00
_space_group_name_H-M_alt 'P 1'
_space_group_IT_number 1
loop_
_space_group_symop_operation_xyz
'x,y,z'
loop_
_atom_site_label
_atom_site_type_symbol
_atom_site_fract_x
_atom_site_fract_y
_atom_site_fract_z
_atom_site_occupancy
Tb1 Tb 0.0000 0.5000 0.0000 1
Tb2 Tb 0.8059 0.8060 0.6117 1
Tb3 Tb 0.1941 0.1940 0.3883 1
Si1 Si 0.3686 0.5542 0.7371 1
Si2 Si 0.6314 0.4458 0.2629 1
Si3 Si 0.3686 0.1832 0.7373 1
Si4 Si 0.6314 0.8168 0.2627 1
Dy1 Dy 0.5000 0.0000 0.0000 1


(8)
# GGA-PBE Cr5Ge2N6, optimized geometry
# **Mass density**: 5.7 g/cm³
# **Raw formation energy**: -65 meV per atom
data_Cr5Ge2N6
_cell_length_a 5.9330
_cell_length_b 5.9330
_cell_length_c 10.5271
_cell_angle_alpha 71.60
_cell_angle_beta 71.60
_cell_angle_gamma 55.49
_space_group_name_H-M_alt 'P 1'
_space_group_IT_number 1
loop_
_space_group_symop_operation_xyz
'x,y,z'
loop_
_atom_site_label
_atom_site_type_symbol
_atom_site_fract_x
_atom_site_fract_y
_atom_site_fract_z
_atom_site_occupancy
N1 N 0.3447 0.4353 0.8698 1
N2 N 0.1186 0.5556 0.6473 1
N3 N 0.1899 0.8798 0.3913 1
N4 N 0.5556 0.1186 0.1473 1
N5 N 0.8798 0.1899 0.8913 1
N6 N 0.4444 0.8814 0.8527 1
N7 N 0.1202 0.8101 0.1087 1
N8 N 0.4353 0.3447 0.3698 1
N9 N 0.6553 0.5647 0.1302 1
N10 N 0.5647 0.6553 0.6302 1
N11 N 0.8101 0.1202 0.6087 1
N12 N 0.8814 0.4444 0.3527 1
Cr1 Cr 0.3159 0.6841 0.2500 1
Cr2 Cr 0.6841 0.3159 0.7500 1
Cr3 Cr 0.2776 0.1708 0.3175 1
Cr4 Cr 0.7224 0.8292 0.6825 1
Cr5 Cr 0.1708 0.2776 0.8175 1
Cr6 Cr 0.8292 0.7224 0.1825 1
Cr7 Cr 0.8064 0.1516 0.4251 1
Cr8 Cr 0.1516 0.8064 0.9251 1
Cr9 Cr 0.1936 0.8484 0.5749 1
Cr10 Cr 0.8484 0.1936 0.0749 1
Ge1 Ge 0.2826 0.2433 0.5576 1
Ge2 Ge 0.7174 0.7567 0.4424 1
Ge3 Ge 0.2433 0.2826 0.0576 1
Ge4 Ge 0.7567 0.7174 0.9424 1


(9)
# GGA-PBE Ho2TmHg2, optimized geometry
# **Mass density**: 11.1 g/cm³
# **ΔE_f**: -0.38 eV per atom
data_Ho2TmHg2
_cell_length_a 3.8286
_cell_length_b 8.3803
_cell_length_c 8.3803
_cell_angle_alpha 90.00
_cell_angle_beta 90.00
_cell_angle_gamma 90.00
_space_group_name_H-M_alt 'P 1'
_space_group_IT_number 1
loop_
_space_group_symop_operation_xyz
'x,y,z'
loop_
_atom_site_label
_atom_site_type_symbol
_atom_site_fract_x
_atom_site_fract_y
_atom_site_fract_z
_atom_site_occupancy
Hg1 Hg 0.0000 0.6331 0.1331 1
Hg2 Hg 0.0000 0.1331 0.3669 1
Hg3 Hg 0.0000 0.8669 0.6331 1
Hg4 Hg 0.0000 0.3669 0.8669 1
Ho1 Ho 0.5000 0.6666 0.8334 1
Ho2 Ho 0.5000 0.3334 0.1666 1
Ho3 Ho 0.5000 0.1666 0.6666 1
Ho4 Ho 0.5000 0.8334 0.3334 1
Tm1 Tm 0.0000 0.5000 0.5000 1
Tm2 Tm 0.0000 0.0000 0.0000 1


(10)
# GGA-PBE TbAgRh4, optimized geometry
# **Mass density**: 10.9 g/cm³
# **ΔE_f**: -0.31 eV per atom
data_TbAgRh4
_cell_length_a 5.2606
_cell_length_b 5.2606
_cell_length_c 5.2606
_cell_angle_alpha 60.00
_cell_angle_beta 60.00
_cell_angle_gamma 60.00
_space_group_name_H-M_alt 'P 1'
_space_group_IT_number 1
loop_
_space_group_symop_operation_xyz
'x,y,z'
loop_
_atom_site_label
_atom_site_type_symbol
_atom_site_fract_x
_atom_site_fract_y
_atom_site_fract_z
_atom_site_occupancy
Rh1 Rh 0.6253 0.6253 0.1242 1
Rh2 Rh 0.1242 0.6253 0.6253 1
Rh3 Rh 0.6253 0.6253 0.6253 1
Rh4 Rh 0.6253 0.1242 0.6253 1
Ag1 Ag 0.0000 0.0000 0.0000 1
Tb1 Tb 0.2500 0.2500 0.2500 1


(11)
# GGA-PBE PmSmY, optimized geometry
# **Mass density**: 6.4 g/cm³
# **ΔE_f**: 0.06 eV per atom
data_PmSmY
_cell_length_a 5.7243
_cell_length_b 6.7185
_cell_length_c 6.7225
_cell_angle_alpha 63.28
_cell_angle_beta 64.80
_cell_angle_gamma 64.79
_space_group_name_H-M_alt 'P 1'
_space_group_IT_number 1
loop_
_space_group_symop_operation_xyz
'x,y,z'
loop_
_atom_site_label
_atom_site_type_symbol
_atom_site_fract_x
_atom_site_fract_y
_atom_site_fract_z
_atom_site_occupancy
Y1 Y 0.1675 0.8326 0.8324 1
Y2 Y 0.8325 0.1674 0.1676 1
Pm1 Pm 0.8356 0.6644 0.6644 1
Pm2 Pm 0.1644 0.3356 0.3356 1
Sm1 Sm 0.5002 0.7536 0.2461 1
Sm2 Sm 0.4998 0.2464 0.7539 1


(12)
# GGA-PBE Pm5PrNd4, optimized geometry
# **Mass density**: 6.9 g/cm³
# **ΔE_f**: 0.01 eV per atom
data_Pm5PrNd4
_cell_length_a 3.6695
_cell_length_b 7.3350
_cell_length_c 13.2478
_cell_angle_alpha 98.00
_cell_angle_beta 97.96
_cell_angle_gamma 90.00
_space_group_name_H-M_alt 'P 1'
_space_group_IT_number 1
loop_
_space_group_symop_operation_xyz
'x,y,z'
loop_
_atom_site_label
_atom_site_type_symbol
_atom_site_fract_x
_atom_site_fract_y
_atom_site_fract_z
_atom_site_occupancy
Pr1 Pr 0.5000 0.0000 0.0000 1
Pm1 Pm 0.1003 0.7989 0.2006 1
Pm2 Pm 0.8997 0.2011 0.7994 1
Pm3 Pm 0.3000 0.4002 0.5999 1
Pm4 Pm 0.5000 0.5000 0.0000 1
Pm5 Pm 0.7000 0.5998 0.4001 1
Nd1 Nd 0.1002 0.3016 0.2004 1
Nd2 Nd 0.2998 0.8995 0.5997 1
Nd3 Nd 0.8998 0.6984 0.7996 1
Nd4 Nd 0.7002 0.1005 0.4003 1


Number 9 is which compound? Ho2TmHg2


Which of these has the lowest mass density? Cr5Ge2N6


What is the formula in the ninth record? Ho2TmHg2


Repeat the seventh record exactly.
# GGA-PBE Tb3DySi4, optimized geometry
# **Mass density**: 6.4 g/cm³
# **Raw formation energy**: -563 meV per atom
data_Tb3DySi4
_cell_length_a 3.9989
_cell_length_b 6.2602
_cell_length_c 8.6484
_cell_angle_alpha 111.22
_cell_angle_beta 103.37
_cell_angle_gamma 90.00
_space_group_name_H-M_alt 'P 1'
_space_group_IT_number 1
loop_
_space_group_symop_operation_xyz
'x,y,z'
loop_
_atom_site_label
_atom_site_type_symbol
_atom_site_fract_x
_atom_site_fract_y
_atom_site_fract_z
_atom_site_occupancy
Tb1 Tb 0.0000 0.5000 0.0000 1
Tb2 Tb 0.8059 0.8060 0.6117 1
Tb3 Tb 0.1941 0.1940 0.3883 1
Si1 Si 0.3686 0.5542 0.7371 1
Si2 Si 0.6314 0.4458 0.2629 1
Si3 Si 0.3686 0.1832 0.7373 1
Si4 Si 0.6314 0.8168 0.2627 1
Dy1 Dy 0.5000 0.0000 0.0000 1